Entry 1:
The following is a DFT calculation (GGA-PBE) of a geometry-optimized ZrCr2Pb structure.

The structure belongs to space group I-42d (No. 122); the cell edges are 7.300, 7.300 and 5.706 Å and the angles 90.00°, 90.00° and 90.00°. The inequivalent atoms are Zr at (0.000, 0.000, 0.000), Cr at (0.242, 0.250, 0.125) and Pb at (0.000, 0.000, 0.500).

Its crystal system is tetragonal. Its energy is -107.90 eV for the cell shown. The value obtained for the formation energy is 1132.2 meV per atom. Its volume is 304 Å³/cell.

---

Entry 2:
The following is a DFT calculation (GGA-PBE) of a geometry-optimized PrGdDyTl structure.

The structure belongs to space group F-43m (No. 216); the cell edges are 7.857, 7.857 and 7.857 Å and the angles 90.00°, 90.00° and 90.00°. The inequivalent atoms are Pr at (0.000, 0.000, 0.000), Gd at (0.000, 0.000, 0.500), Dy at (0.250, 0.250, 0.750) and Tl at (0.250, 0.250, 0.250).

Its crystal system is cubic. Its energy is -104.50 eV for the cell shown. The value obtained for the formation energy is -74.3 meV per atom. Its volume is 485 Å³/cell.

---

Entry 3:
The following is a DFT calculation (GGA-PBE) of a geometry-optimized Hf7Fe3 structure.

The structure belongs to space group P6_3mc (No. 186); the cell edges are 8.7811, 8.7811 and 5.5843 Å and the angles 90.00°, 90.00° and 120.00°. The inequivalent atoms are Hf at (0.0736, 0.5368, 0.0000), Hf at (0.1284, 0.2568, 0.7105), Hf at (0.3333, 0.6667, 0.5025) and Fe at (0.1887, 0.3774, 0.2534).

Its crystal system is hexagonal. Its energy is -192.91 eV for the cell shown. The value obtained for the formation energy is -139.5 meV per atom. Its volume is 373 Å³/cell.

---

Entry 4:
The following is a DFT calculation (GGA-PBE) of a geometry-optimized Ce3Zn4Au4 structure.

The structure belongs to space group Immm (No. 71); the cell edges are 3.602, 4.539 and 28.547 Å and the angles 90.00°, 90.00° and 90.00°. The inequivalent atoms are Ce at (0.000, 0.000, 0.000), Ce at (0.000, 0.500, 0.144), Zn at (0.000, 0.000, 0.258), Zn at (0.000, 0.500, 0.405), Au at (0.000, 0.000, 0.450) and Au at (0.000, 0.500, 0.312).

Its crystal system is orthorhombic. Its energy is -83.43 eV for the cell shown. The value obtained for the formation energy is -519.1 meV per atom. Its volume is 467 Å³/cell.

---

Entry 5:
The following is a DFT calculation (GGA-PBE) of a geometry-optimized Li2VPd7 structure.

The structure belongs to space group Cmmm (No. 65); the cell edges are 8.369, 14.919 and 2.725 Å and the angles 90.00°, 90.00° and 90.00°. The inequivalent atoms are Li at (0.000, 0.168, 0.000), V at (0.000, 0.500, 0.500), Pd at (0.000, 0.000, 0.000), Pd at (0.000, 0.313, 0.500) and Pd at (0.219, 0.409, 0.000).

Its crystal system is orthorhombic. Its energy is -97.84 eV for the cell shown. The value obtained for the formation energy is 37.6 meV per atom. Its volume is 340 Å³/cell.

---

Entry 6:
The following is a DFT calculation (GGA-PBE) of a geometry-optimized Dy7Bi2Sb2 structure.

The structure belongs to space group Cmmm (No. 65); the cell edges are 9.361, 10.944 and 6.980 Å and the angles 90.00°, 90.00° and 90.00°. The inequivalent atoms are Dy at (0.000, 0.000, 0.000), Dy at (0.000, 0.500, 0.259), Dy at (0.250, 0.250, 0.264), Bi at (0.194, 0.000, 0.500) and Sb at (0.000, 0.276, 0.000).

Its crystal system is orthorhombic. Its energy is -105.35 eV for the cell shown. Its volume is 715 Å³/cell. Its formation energy without anion corrections is -0.4048 eV per atom.

---

Entry 7:
The following is a DFT calculation (GGA-PBE) of a geometry-optimized CuAuCl structure.

The structure belongs to space group Fmm2 (No. 42); the cell edges are 3.222, 5.555 and 12.215 Å and the angles 90.00°, 90.00° and 90.00°. The inequivalent atoms are Cu at (0.000, 0.000, 0.000), Au at (0.000, 0.000, 0.662) and Cl at (0.000, 0.000, 0.366).

Its crystal system is orthorhombic. Its energy is -36.65 eV for the cell shown. Its volume is 219 Å³/cell. Its formation energy without anion corrections is 0.0190 eV per atom.

---

Entry 8:
The following is a DFT calculation (GGA-PBE) of a geometry-optimized BaTc2Te structure.

The structure belongs to space group P4/mmm (No. 123); the cell edges are 4.784, 4.784 and 3.688 Å and the angles 90.00°, 90.00° and 90.00°. The inequivalent atoms are Ba at (0.000, 0.000, 0.000), Tc at (0.000, 0.500, 0.500) and Te at (0.500, 0.500, 0.000).

Its crystal system is tetragonal. Its energy is -22.05 eV for the cell shown. Its volume is 84 Å³/cell. Its formation energy without anion corrections is 0.9373 eV per atom.

---

Entry 9:
The following is a DFT calculation (GGA-PBE) of a geometry-optimized SrTcH3 structure.

The structure belongs to space group Pm-3m (No. 221); the cell edges are 3.770, 3.770 and 3.770 Å and the angles 90.00°, 90.00° and 90.00°. The inequivalent atoms are Sr at (0.000, 0.000, 0.000), Tc at (0.500, 0.500, 0.500) and H at (0.000, 0.500, 0.500).

Its crystal system is cubic. Its energy is -23.23 eV for the cell shown. Its volume is 54 Å³/cell.

---

Entry 10:
The following is a DFT calculation (GGA-PBE) of a geometry-optimized Ho2BeIr structure.

The structure belongs to space group P2_1/m (No. 11); the cell edges are 5.576, 3.963 and 7.981 Å and the angles 90.00°, 108.61° and 90.00°. The inequivalent atoms are Ho at (0.210, 0.250, 0.427), Ho at (0.283, 0.750, 0.070), Be at (0.334, 0.750, 0.723) and Ir at (0.154, 0.250, 0.777).

Its crystal system is monoclinic. Its energy is -47.92 eV for the cell shown. The value obtained for the formation energy is -554.5 meV per atom. Its volume is 167 Å³/cell.

---

Entry 11:
The following is a DFT calculation (GGA-PBE) of a geometry-optimized Th2MgGa4Pt3 structure.

The structure belongs to space group P-4m2 (No. 115); the cell edges are 4.234, 4.234 and 11.058 Å and the angles 90.00°, 90.00° and 90.00°. The inequivalent atoms are Th at (0.000, 0.500, 0.237), Mg at (0.000, 0.000, 0.500), Ga at (0.000, 0.000, 0.000), Ga at (0.000, 0.500, 0.642), Ga at (0.500, 0.500, 0.000), Pt at (0.000, 0.500, 0.866) and Pt at (0.500, 0.500, 0.500).

Its crystal system is tetragonal. Its energy is -55.18 eV for the cell shown. The value obtained for the formation energy is -851.8 meV per atom. Its volume is 198 Å³/cell.

---

Entry 12:
The following is a DFT calculation (GGA-PBE) of a geometry-optimized K3Na2Hg3 structure.

The structure belongs to space group Immm (No. 71); the cell edges are 4.591, 5.626 and 22.942 Å and the angles 90.00°, 90.00° and 90.00°. The inequivalent atoms are K at (0.000, 0.000, 0.000), K at (0.000, 0.500, 0.122), Na at (0.000, 0.000, 0.247), Hg at (0.000, 0.000, 0.500) and Hg at (0.000, 0.500, 0.352).

Its crystal system is orthorhombic. Its energy is -16.31 eV for the cell shown. The value obtained for the formation energy is -164.8 meV per atom. Its volume is 593 Å³/cell.

---

Total moment? In order: 0.000 8.490 0.000 2.391 0.097 0.000 0.000 1.901 0.000 0.000 0.000 0.000 μB/f.u..